No. 1
This record from Alexandria describes a geometry-optimized LaPOs2 structure. The functional is GGA-PBE.

Values from the calculation:
SG: No. 160

Lattice parameters (Å, degrees): 9.464 9.464 9.464 18.01 18.01 18.01
Fractional coordinates of all 4 atoms:
La 0.249 0.249 0.249
Os 0.012 0.012 0.012
Os 0.757 0.757 0.757
P 0.482 0.482 0.482

---

No. 2
This record from Alexandria describes a geometry-optimized La2POs structure. The functional is GGA-PBE.

Values from the calculation:
SG: No. 99

Lattice parameters (Å, degrees): 4.246 4.246 5.887 90.00 90.00 90.00
Fractional coordinates of all 4 atoms:
La 0.000 0.000 0.874
La 0.500 0.500 0.375
Os 0.000 0.000 0.375
P 0.500 0.500 0.875

---

No. 3
This record from Alexandria describes a geometry-optimized La2POs structure. The functional is GGA-PBE.

Values from the calculation:
SG: No. 122

Lattice parameters (Å, degrees): 7.717 7.717 6.437 53.17 53.17 90.00
Fractional coordinates of all 8 atoms:
P 0.500 0.500 0.000
P 0.250 0.750 0.500
Os 0.000 0.000 0.000
Os 0.750 0.250 0.500
La 0.646 0.125 0.250
La 0.104 0.625 0.250
La 0.375 0.354 0.750
La 0.875 0.896 0.750

---

no.,size of the total moment (μB/cell),formation energy (eV per atom)
1,0.7,0.366
2,0.7,-0.398
3,0.0,-0.207